! Sr2BrO2 | the Alexandria database | PBE | optimized geometry; values from VASP
! Uncorrected formation energy = -2.2307 eV per atom
! Size of the total moment = 1.01 μB per formula unit
! SG = C2/m
! Energy relative to the lowest polymorph listed for this composition = 0 meV per atom
! ρ = 4.19 Mg/m³
&SYSTEM
  ibrav = 0, nat = 5, ntyp = 3
/
ATOMIC_SPECIES
Sr 87.62 Sr.upf
Br 79.90 Br.upf
O 16.00 O.upf
ATOMIC_POSITIONS angstrom
Sr 1.105 0.000 2.290
Sr 5.157 0.000 5.310
Br 3.524 0.000 0.000
O 0.484 0.000 4.698
O 5.778 0.000 2.902
CELL_PARAMETERS angstrom
3.524 -2.126 0.000
3.524 2.126 0.000
-0.786 0.000 7.600


! SrBr2O2 | the Alexandria database | PBE | optimized geometry; values from VASP
! Uncorrected formation energy = -1.2586 eV per atom
! Size of the total moment = 2.00 μB per formula unit
! SG = C2/m
! Energy relative to the lowest polymorph listed for this composition = 0 meV per atom
! ρ = 2.62 Mg/m³
! D(E_F) = 0.00 states/eV/atom
&SYSTEM
  ibrav = 0, nat = 5, ntyp = 3
/
ATOMIC_SPECIES
Sr 87.62 Sr.upf
Br 79.90 Br.upf
O 16.00 O.upf
ATOMIC_POSITIONS angstrom
Sr 0.000 0.000 0.000
Br 2.658 0.000 1.563
Br 4.359 0.000 8.090
O 0.020 0.000 4.466
O 6.996 0.000 5.187
CELL_PARAMETERS angstrom
3.988 -2.302 0.000
3.988 2.302 0.000
-0.960 0.000 9.653


! Sr2TlBr2O2 | the Alexandria database | PBE | optimized geometry; values from VASP
! Uncorrected formation energy = -1.8407 eV per atom
! Size of the total moment = 0.99 μB per formula unit
! SG = C2/m
! ρ = 5.22 Mg/m³
! D(E_F) = 0.25 states/eV/atom
&SYSTEM
  ibrav = 0, nat = 7, ntyp = 4
/
ATOMIC_SPECIES
Sr 87.62 Sr.upf
Tl 204.38 Tl.upf
Br 79.90 Br.upf
O 16.00 O.upf
ATOMIC_POSITIONS angstrom
Sr 1.214 0.000 1.826
Sr 7.268 0.000 4.986
Tl -2.340 0.000 3.406
Br 5.011 0.000 0.886
Br 3.470 0.000 5.926
O -0.104 0.000 3.911
O 8.586 0.000 2.901
CELL_PARAMETERS angstrom
6.580 -2.029 0.000
6.580 2.029 0.000
-4.680 0.000 6.812


! SrTlBrO2 | the Alexandria database | PBE | optimized geometry; values from VASP
! Uncorrected formation energy = -1.5653 eV per atom
! Size of the total moment = 0.00 μB per formula unit
! SG = P2_1/m
! ρ = 5.22 Mg/m³
! D(E_F) = 0.00 states/eV/atom
&SYSTEM
  ibrav = 0, nat = 10, ntyp = 4
/
ATOMIC_SPECIES
Sr 87.62 Sr.upf
Tl 204.38 Tl.upf
Br 79.90 Br.upf
O 16.00 O.upf
ATOMIC_POSITIONS angstrom
Sr 1.344 1.109 0.942
Sr 4.906 3.326 7.359
Tl -0.058 1.109 5.364
Tl 6.308 3.326 2.937
Br 2.607 1.109 6.561
Br 3.644 3.326 1.740
O 0.154 3.326 1.035
O 0.233 1.109 3.280
O 6.018 3.326 5.021
O 6.096 1.109 7.266
CELL_PARAMETERS angstrom
6.977 0.000 0.000
0.000 4.435 0.000
-0.727 0.000 8.301